First-principles (PBE-GGA) data for an optimized crystal structure of LiAcScTe3, as listed in Alexandria via LeMat-Bulk.

Geometry as CIF:
```
data_LiAcScTe3
_chemical_formula_sum 'Li2 Ac2 Sc2 Te6'
_symmetry_space_group_name_H-M 'P 1 21/m 1'
_symmetry_Int_Tables_number 11
_cell_length_a 8.8059
_cell_length_b 4.3667
_cell_length_c 9.6963
_cell_angle_alpha 90.00
_cell_angle_beta 105.48
_cell_angle_gamma 90.00
loop_
_symmetry_equiv_pos_as_xyz
'x,y,z'
'-x,-y,-z'
'-x,y+1/2,-z'
'x,-y+1/2,z'
loop_
_atom_site_label
_atom_site_type_symbol
_atom_site_fract_x
_atom_site_fract_y
_atom_site_fract_z
Li1 Li 0.0904 0.2500 0.0926
Ac1 Ac 0.1987 0.2500 0.7416
Sc1 Sc 0.3317 0.7500 0.3473
Te1 Te 0.1048 0.2500 0.3750
Te2 Te 0.2393 0.7500 0.0204
Te3 Te 0.4469 0.7500 0.6637
```

## Properties
The total magnetization is 0.53 Bohr magnetons per cell. The value obtained for the density of states at the Fermi level is 6.477 states/eV/cell. Its formation energy (no corrections) is -1.27 eV per atom. The calculation puts the volume at 29.94 Å³/atom. As for the crystal system: monoclinic.